## LiVSi3 (PBE)

Data for a geometry-optimized LiVSi3 structure.

abc: 4.570 4.570 4.570
angles: 90.00 90.00 90.00
Space group Pm-3m (No. 221)
Asymmetric unit:
Li  0.000  0.000  0.000 x1
V  0.500  0.500  0.500 x1
Si  0.000  0.500  0.500 x3

Calculated values
For the density of states at the Fermi level, the calculation gives 0.418 states/eV per atom. The uncorrected formation energy is 0.1937 eV per atom. The value obtained for the energy above the most stable polymorph in this dataset is 0.0 meV/atom.

***

## RbGe2P2 (PBE)

Data for a geometry-optimized RbGe2P2 structure.

abc: 8.258 10.882 6.480
angles: 90.00 110.32 90.00
Space group C2/c (No. 15)
Asymmetric unit:
Rb  0.000  0.118  0.250 x4
Ge  0.152  0.387  0.989 x8
P  0.000  0.223  0.750 x4
P  0.000  0.443  0.250 x4

Calculated values
The calculation puts the formation energy at -0.045 eV/atom. For the density of states at the Fermi level, the calculation gives 0.102 states/eV per atom. The value obtained for the energy above the most stable polymorph in this dataset is 46.0 meV/atom.